V7O4 | GGA+U | optimized geometry Values from VASP.

Cell and atoms, written as Quantum ESPRESSO input:
```
&SYSTEM
  ibrav = 0, nat = 11, ntyp = 2
/
ATOMIC_SPECIES
V 50.94 V.upf
O 16.00 O.upf
CELL_PARAMETERS angstrom
5.1174 -1.5476 0.0000
5.1174 1.5476 0.0000
-0.7222 0.0000 8.8546
ATOMIC_POSITIONS crystal
V 0.0000 0.0000 0.0000
V 0.1471 0.1471 0.5652
V 0.2812 0.2812 0.1609
V 0.4296 0.4296 0.6910
V 0.5704 0.5704 0.3090
V 0.7188 0.7188 0.8391
V 0.8529 0.8529 0.4348
O 0.0692 0.0692 0.7801
O 0.3564 0.3564 0.9243
O 0.6436 0.6436 0.0757
O 0.9308 0.9308 0.2199
```

Space group: C2/m (12)
Total magnetization (μB per formula unit): 8.994
E (eV/atom): -7.3229